A geometry-optimized TbPr8Dy4 structure, computed with PBE.

Cell and atoms, written as extended XYZ:
```
13
Lattice="3.663 2.115 9.770 -3.663 2.115 9.770 0.000 -4.229 9.770" Properties=species:S:1:pos:R:3 pbc="T T T"
Tb 0.000 0.000 0.000
Pr 0.000 -1.924 11.820
Pr -1.666 0.962 11.820
Pr 0.000 0.000 8.437
Pr -1.666 -0.962 17.490
Pr 1.666 0.962 11.820
Pr 0.000 0.000 20.873
Pr 1.666 -0.962 17.490
Pr 0.000 1.924 17.490
Dy -3.663 0.000 14.655
Dy -1.831 1.057 4.885
Dy 1.831 1.057 4.885
Dy 0.000 0.000 14.655
```

Calculated values
Theoretical density ... 7.08 g/cm3
Uncorrected energy ... -58.88 eV/cell
Total moment ... 0.00 μB/cell
DOS(E_F) ... 13.2 states/eV/f.u.